Arrangement A

This record from Alexandria describes LaPr4Th after structural relaxation. The functional is PBE.

Cell: 5.843 7.180 10.128 Å, 90.00 90.00 90.00°
Space group Immm (No. 71)
Inequivalent atoms, fractional coordinates:
La 0.000 0.000 0.000 [2 per cell]
Pr 0.000 0.249 0.333 [8 per cell]
Th 0.000 0.500 0.000 [2 per cell]

As for the density: 7.31 g cm⁻³.


Arrangement B

This record from Alexandria describes LaPr4Th after structural relaxation. The functional is PBE.

Cell: 12.260 3.675 10.522 Å, 90.00 115.35 90.00°
Space group C2/m (No. 12)
Inequivalent atoms, fractional coordinates:
La 0.000 0.000 0.000 [2 per cell]
Pr 0.163 0.500 0.823 [4 per cell]
Pr 0.165 0.500 0.340 [4 per cell]
Th 0.000 0.000 0.500 [2 per cell]

As for the density: 7.25 g cm⁻³.


Short version: arrangement B, arrangement A, most stable first.


Arrangement A

This record from Alexandria describes La4Pr3Th after structural relaxation. The functional is PBE.

Cell: 12.103 13.848 3.474 Å, 90.00 90.00 90.00°
Space group Cmmm (No. 65)
Inequivalent atoms, fractional coordinates:
La 0.000 0.247 0.000 [4 per cell]
La 0.238 0.000 0.500 [4 per cell]
Pr 0.000 0.500 0.000 [2 per cell]
Pr 0.250 0.250 0.500 [4 per cell]
Th 0.000 0.000 0.000 [2 per cell]

As for the density: 6.90 g cm⁻³.


Arrangement B

This record from Alexandria describes La4Pr3Th after structural relaxation. The functional is PBE.

Cell: 25.891 3.538 6.353 Å, 90.00 94.67 90.00°
Space group C2/m (No. 12)
Inequivalent atoms, fractional coordinates:
La 0.105 0.000 0.228 [4 per cell]
La 0.221 0.500 0.240 [4 per cell]
Pr 0.000 0.000 0.500 [2 per cell]
Pr 0.143 0.000 0.745 [4 per cell]
Th 0.000 0.500 0.000 [2 per cell]

As for the density: 6.93 g cm⁻³.


Short version: arrangement B, arrangement A, most stable first.


Arrangement A

This record from Alexandria describes LaPr3Th after structural relaxation. The functional is PBE.

Cell: 17.475 3.596 12.751 Å, 90.00 116.65 90.00°
Space group C2/m (No. 12)
Inequivalent atoms, fractional coordinates:
La 0.136 0.000 0.251 [4 per cell]
Pr 0.036 0.500 0.666 [4 per cell]
Pr 0.081 0.000 0.948 [4 per cell]
Pr 0.172 0.000 0.549 [4 per cell]
Th 0.237 0.000 0.865 [4 per cell]

As for the density: 7.36 g cm⁻³.


Arrangement B

This record from Alexandria describes LaPr3Th after structural relaxation. The functional is PBE.

Cell: 5.594 11.544 11.257 Å, 90.00 90.00 90.00°
Space group Cmmm (No. 65)
Inequivalent atoms, fractional coordinates:
La 0.000 0.161 0.000 [4 per cell]
Pr 0.000 0.151 0.310 [8 per cell]
Pr 0.000 0.500 0.173 [4 per cell]
Th 0.000 0.364 0.500 [4 per cell]

As for the density: 7.25 g cm⁻³.


Short version: arrangement A, arrangement B, most stable first.


Arrangement A

This record from Alexandria describes La3PrTl after structural relaxation. The functional is PBE.

Cell: 6.038 18.581 6.003 Å, 90.00 90.00 90.00°
Space group Cmcm (No. 63)
Inequivalent atoms, fractional coordinates:
La 0.000 0.057 0.250 [4 per cell]
La 0.000 0.249 0.250 [4 per cell]
La 0.000 0.443 0.250 [4 per cell]
Pr 0.000 0.353 0.750 [4 per cell]
Tl 0.000 0.151 0.750 [4 per cell]

As for the density: 7.52 g cm⁻³.


Arrangement B

This record from Alexandria describes La3PrTl after structural relaxation. The functional is PBE.

Cell: 5.979 7.774 8.386 Å, 90.00 110.87 90.00°
Space group P2_1/m (No. 11)
Inequivalent atoms, fractional coordinates:
La 0.114 0.250 0.226 [2 per cell]
La 0.320 0.002 0.641 [4 per cell]
Pr 0.120 0.750 0.240 [2 per cell]
Tl 0.500 0.250 0.997 [2 per cell]

As for the density: 6.95 g cm⁻³.


Short version: arrangement A, arrangement B, most stable first.


Arrangement A

This record from Alexandria describes La2Pr6Tl after structural relaxation. The functional is PBE.

Cell: 21.044 10.025 6.109 Å, 90.00 99.56 90.00°
Space group C2/c (No. 15)
Inequivalent atoms, fractional coordinates:
La 0.249 0.080 0.477 [8 per cell]
Pr 0.072 0.078 0.431 [8 per cell]
Pr 0.078 0.424 0.378 [8 per cell]
Pr 0.162 0.249 0.947 [8 per cell]
Tl 0.000 0.271 0.750 [4 per cell]

As for the density: 6.94 g cm⁻³.


Arrangement B

This record from Alexandria describes La2Pr6Tl after structural relaxation. The functional is PBE.

Cell: 3.661 10.653 16.500 Å, 90.00 90.00 90.00°
Space group Immm (No. 71)
Inequivalent atoms, fractional coordinates:
La 0.000 0.000 0.151 [4 per cell]
Pr 0.000 0.298 0.500 [4 per cell]
Pr 0.000 0.339 0.176 [8 per cell]
Tl 0.000 0.500 0.000 [2 per cell]

As for the density: 6.85 g cm⁻³.


Short version: arrangement B, arrangement A, most stable first.


Arrangement A

This record from Alexandria describes La5Pr4Tl after structural relaxation. The functional is PBE.

Cell: 4.340 4.340 18.759 Å, 90.00 90.00 90.00°
Space group P4/mmm (No. 123)
Inequivalent atoms, fractional coordinates:
La 0.000 0.000 0.000 [1 per cell]
La 0.000 0.000 0.202 [2 per cell]
La 0.000 0.000 0.413 [2 per cell]
Pr 0.500 0.500 0.103 [2 per cell]
Pr 0.500 0.500 0.303 [2 per cell]
Tl 0.500 0.500 0.500 [1 per cell]

As for the density: 6.87 g cm⁻³.


Arrangement B

This record from Alexandria describes La5Pr4Tl after structural relaxation. The functional is PBE.

Cell: 10.721 10.721 6.324 Å, 90.00 90.00 90.00°
Space group I4 (No. 79)
Inequivalent atoms, fractional coordinates:
La 0.000 0.000 0.000 [2 per cell]
La 0.189 0.189 0.266 [8 per cell]
Pr 0.000 0.313 0.774 [8 per cell]
Tl 0.000 0.000 0.520 [2 per cell]

As for the density: 6.68 g cm⁻³.


Short version: arrangement A, arrangement B, most stable first.


Arrangement A

This record from Alexandria describes La4Pr5Tl after structural relaxation. The functional is PBE.

Cell: 4.339 4.339 18.527 Å, 90.00 90.00 90.00°
Space group P4/mmm (No. 123)
Inequivalent atoms, fractional coordinates:
La 0.000 0.000 0.105 [2 per cell]
La 0.000 0.000 0.302 [2 per cell]
Pr 0.500 0.500 0.000 [1 per cell]
Pr 0.500 0.500 0.211 [2 per cell]
Pr 0.500 0.500 0.412 [2 per cell]
Tl 0.000 0.000 0.500 [1 per cell]

As for the density: 6.97 g cm⁻³.


Arrangement B

This record from Alexandria describes La4Pr5Tl after structural relaxation. The functional is PBE.

Cell: 10.920 10.920 6.197 Å, 90.00 90.00 90.00°
Space group I4mm (No. 107)
Inequivalent atoms, fractional coordinates:
La 0.000 0.308 0.000 [8 per cell]
Pr 0.000 0.000 0.205 [2 per cell]
Pr 0.187 0.187 0.491 [8 per cell]
Tl 0.000 0.000 0.726 [2 per cell]

As for the density: 6.58 g cm⁻³.


Short version: arrangement A, arrangement B, most stable first.


Arrangement A

This record from Alexandria describes LaPr6Tl2 after structural relaxation. The functional is PBE.

Cell: 13.369 3.909 12.428 Å, 90.00 108.21 90.00°
Space group C2/m (No. 12)
Inequivalent atoms, fractional coordinates:
La 0.000 0.000 0.000 [2 per cell]
Pr 0.011 0.000 0.343 [4 per cell]
Pr 0.188 0.500 0.874 [4 per cell]
Pr 0.191 0.500 0.585 [4 per cell]
Tl 0.141 0.500 0.212 [4 per cell]

As for the density: 7.50 g cm⁻³.


Arrangement B

This record from Alexandria describes LaPr6Tl2 after structural relaxation. The functional is PBE.

Cell: 16.278 11.885 6.190 Å, 90.00 98.85 90.00°
Space group C2/c (No. 15)
Inequivalent atoms, fractional coordinates:
La 0.000 0.147 0.250 [4 per cell]
Pr 0.059 0.387 0.531 [8 per cell]
Pr 0.117 0.118 0.801 [8 per cell]
Pr 0.239 0.125 0.330 [8 per cell]
Tl 0.156 0.363 0.100 [8 per cell]

As for the density: 7.82 g cm⁻³.


Short version: arrangement A, arrangement B, most stable first.